(1)
Density functional theory data (PBE) for an optimized crystal structure of LaTbDy14.

## Properties
- D(E_F) (states/eV/f.u.) = 18.63
- E_form (meV/atom) = 7
- uncorrected energy (eV/atom) = -4.62
- total moment (μB/atom) = 0.0000
- volume (Å³ per cell) = 508.68

```
LaTbDy14
1.0
7.092 -0.856 0.000
-2.800 6.571 0.000
0.000 0.000 11.507
La Tb Dy
1 1 14
Direct
0.708 0.292 0.500
0.208 0.792 0.500
0.042 0.958 0.000
0.541 0.459 0.000
0.208 0.292 0.500
0.043 0.459 0.000
0.708 0.792 0.500
0.541 0.957 0.000
0.374 0.125 0.753
0.374 0.125 0.247
0.875 0.626 0.753
0.875 0.626 0.247
0.375 0.625 0.750
0.375 0.625 0.250
0.875 0.125 0.753
0.875 0.125 0.247
```


(2)
Density functional theory data (PBE) for an optimized crystal structure of CoSbRh3.

## Properties
- D(E_F) (states/eV/f.u.) = 6.32
- uncorrected formation energy (kJ/mol of formula units) = 362
- uncorrected energy (eV/atom) = -5.91
- energy above the most stable polymorph in this dataset (meV per atom) = 0
- total moment (μB/atom) = 0.5860
- volume (Å³ per cell) = 90.53

```
CoSbRh3
1.0
4.490 0.000 0.000
0.000 4.490 0.000
0.000 0.000 4.490
Sb Rh Co
1 3 1
Direct
0.500 0.500 0.500
0.000 0.500 0.000
0.000 0.000 0.500
0.500 0.000 0.000
0.000 0.000 0.000
```


(3)
Density functional theory data (PBE) for an optimized crystal structure of Na2ZnGe3Au4.

## Properties
- D(E_F) (states/eV/f.u.) = 3.15
- E_form (meV/atom) = -192
- uncorrected energy (eV/atom) = -3.28
- total moment (μB/atom) = 0.0000
- volume (Å³ per cell) = 213.24

```
Na2ZnGe3Au4
1.0
4.533 0.000 0.000
0.000 4.533 0.000
0.000 0.000 10.377
Na Zn Ge Au
2 1 3 4
Direct
0.500 0.000 0.246
0.000 0.500 0.754
0.500 0.500 0.500
0.000 0.000 0.500
0.500 0.000 0.871
0.000 0.500 0.129
0.500 0.500 0.000
0.000 0.000 0.000
0.500 0.000 0.627
0.000 0.500 0.373
```


total moment of number 3 (Na2ZnGe3Au4)?
0.0000 μB/atom


The highest total moment belongs to which entry?
CoSbRh3


Copy entry 3 word for word.
Density functional theory data (PBE) for an optimized crystal structure of Na2ZnGe3Au4.

## Properties
- D(E_F) (states/eV/f.u.) = 3.15
- E_form (meV/atom) = -192
- uncorrected energy (eV/atom) = -3.28
- total moment (μB/atom) = 0.0000
- volume (Å³ per cell) = 213.24

```
Na2ZnGe3Au4
1.0
4.533 0.000 0.000
0.000 4.533 0.000
0.000 0.000 10.377
Na Zn Ge Au
2 1 3 4
Direct
0.500 0.000 0.246
0.000 0.500 0.754
0.500 0.500 0.500
0.000 0.000 0.500
0.500 0.000 0.871
0.000 0.500 0.129
0.500 0.500 0.000
0.000 0.000 0.000
0.500 0.000 0.627
0.000 0.500 0.373
```